The following is a DFT calculation (PBE with a Hubbard U) of RbTaWO6 after structural relaxation.

Raw total energy = -286.634 eV/cell
Fermi-level density of states = 0.000 states/eV/f.u.

Cell: 7.408 7.431 10.510 Å, 90.00 90.00 90.00°
Space group Imma (No. 74)
One atom of each set of equivalent atoms:
Rb 0.000 0.250 0.135 x4
Ta 0.000 0.000 0.500 x4
W 0.250 0.250 0.750 x4
O 0.000 0.250 0.436 x4
O 0.000 0.250 0.810 x4
O 0.190 0.066 0.627 x16